The following is a meta-GGA SCAN calculation of TaNbOsRh2 at its PBEsol-relaxed geometry, from Alexandria.

Results
E: -229.60 eV/cell
density of states at the Fermi level: 0.74 states/eV per atom
formation enthalpy at 0 K: 184.07 kJ per mole of atoms
crystal system: tetragonal

Cell: 4.474 4.474 4.871 Å, 90.00 90.00 90.00°
Space group P4/mmm (No. 123)
Asymmetric unit:
Ta: 0.000 0.000 0.000 [1 per cell]
Nb: 0.000 0.000 0.500 [1 per cell]
Os: 0.500 0.500 0.000 [1 per cell]
Rh: 0.000 0.500 0.500 [2 per cell]



The following is a meta-GGA SCAN calculation of NbOs2Ru at its PBEsol-relaxed geometry, from Alexandria.

Results
E: -842.14 eV/cell
density of states at the Fermi level: 1.17 states/eV per atom
formation enthalpy at 0 K: 28.46 kJ per mole of atoms
crystal system: cubic

Cell: 6.206 6.206 6.206 Å, 90.00 90.00 90.00°
Space group Fm-3m (No. 225)
Asymmetric unit:
Nb: 0.000 0.000 0.000 [4 per cell]
Os: 0.250 0.250 0.250 [8 per cell]
Ru: 0.000 0.000 0.500 [4 per cell]



The following is a meta-GGA SCAN calculation of NbOsSe3 at its PBEsol-relaxed geometry, from Alexandria.

Results
E: -159.86 eV/cell
density of states at the Fermi level: 0.68 states/eV per atom
raw formation energy: 1077 meV per atom
crystal system: cubic

Cell: 4.930 4.930 4.930 Å, 90.00 90.00 90.00°
Space group Pm-3m (No. 221)
Asymmetric unit:
Nb: 0.000 0.000 0.000 [1 per cell]
Os: 0.500 0.500 0.500 [1 per cell]
Se: 0.000 0.000 0.500 [3 per cell]



The following is a meta-GGA SCAN calculation of NbTcSnOs2 at its PBEsol-relaxed geometry, from Alexandria.

Results
E: -236.87 eV/cell
density of states at the Fermi level: 0.89 states/eV per atom
formation enthalpy at 0 K: 212.35 kJ per mole of atoms
crystal system: tetragonal

Cell: 4.673 4.673 5.049 Å, 90.00 90.00 90.00°
Space group P4/mmm (No. 123)
Asymmetric unit:
Nb: 0.000 0.000 0.000 [1 per cell]
Tc: 0.500 0.500 0.500 [1 per cell]
Sn: 0.000 0.000 0.500 [1 per cell]
Os: 0.000 0.500 0.000 [2 per cell]



The following is a meta-GGA SCAN calculation of Sr3NbOs at its PBEsol-relaxed geometry, from Alexandria.

Results
E: -162.18 eV/cell
density of states at the Fermi level: 0.58 states/eV per atom
formation enthalpy at 0 K: 186.25 kJ per mole of atoms
crystal system: cubic

Cell: 5.493 5.493 5.493 Å, 90.00 90.00 90.00°
Space group Pm-3m (No. 221)
Asymmetric unit:
Sr: 0.000 0.000 0.500 [3 per cell]
Nb: 0.000 0.000 0.000 [1 per cell]
Os: 0.500 0.500 0.500 [1 per cell]



The following is a meta-GGA SCAN calculation of SrTiNbOs2 at its PBEsol-relaxed geometry, from Alexandria.

Results
E: -209.86 eV/cell
density of states at the Fermi level: 0.93 states/eV per atom
formation enthalpy at 0 K: 102.88 kJ per mole of atoms
crystal system: tetragonal

Cell: 4.842 4.842 4.719 Å, 90.00 90.00 90.00°
Space group P4/mmm (No. 123)
Asymmetric unit:
Sr: 0.000 0.000 0.000 [1 per cell]
Ti: 0.500 0.500 0.000 [1 per cell]
Nb: 0.500 0.500 0.500 [1 per cell]
Os: 0.000 0.500 0.500 [2 per cell]



The following is a meta-GGA SCAN calculation of Ta2Nb2Os at its PBEsol-relaxed geometry, from Alexandria.

Results
E: -533.27 eV/cell
density of states at the Fermi level: 0.97 states/eV per atom
formation enthalpy at 0 K: 90.15 kJ per mole of atoms
crystal system: tetragonal

Cell: 3.564 3.564 14.588 Å, 90.00 90.00 90.00°
Space group I4/mmm (No. 139)
Asymmetric unit:
Ta: 0.000 0.500 0.250 [4 per cell]
Nb: 0.000 0.000 0.088 [4 per cell]
Os: 0.000 0.000 0.500 [2 per cell]



The following is a meta-GGA SCAN calculation of TaNb2Os at its PBEsol-relaxed geometry, from Alexandria.

Results
E: -823.28 eV/cell
density of states at the Fermi level: 0.45 states/eV per atom
formation enthalpy at 0 K: -26.47 kJ per mole of atoms
crystal system: cubic

Cell: 6.411 6.411 6.411 Å, 90.00 90.00 90.00°
Space group Fm-3m (No. 225)
Asymmetric unit:
Ta: 0.000 0.000 0.000 [4 per cell]
Nb: 0.250 0.250 0.250 [8 per cell]
Os: 0.000 0.000 0.500 [4 per cell]